1.
Below is an optimized crystal structure of MgBiIr2Pb, with properties calculated at the PBE-GGA level.

Cell: 4.813 4.813 5.123 Å, 90.00 90.00 90.00°
Space group P4/mmm (No. 123)
Symmetry-distinct sites (fractional):
Mg  0.000  0.000  0.000 (multiplicity 1)
Bi  0.000  0.000  0.500 (multiplicity 1)
Ir  0.000  0.500  0.000 (multiplicity 2)
Pb  0.500  0.500  0.500 (multiplicity 1)



2.
Below is an optimized crystal structure of PmNbN2, with properties calculated at the PBE-GGA level.

Cell: 3.3089 3.3089 16.6829 Å, 90.00 90.00 120.00°
Space group R-3m (No. 166, hexagonal axes)
Symmetry-distinct sites (fractional):
Pm  0.0000  0.0000  0.0000 (multiplicity 3)
Nb  0.0000  0.0000  0.5000 (multiplicity 3)
N  0.0000  0.0000  0.2372 (multiplicity 6)

- Energy relative to the elements, uncorrected: -1202.6 meV/atom
- Relative energy among the computed polymorphs: 37 kJ/mol of formula units



3.
Below is an optimized crystal structure of NbPdAu2, with properties calculated at the PBE-GGA level.

Cell: 5.337 9.482 2.820 Å, 90.00 90.00 90.00°
Space group Pnnm (No. 58)
Symmetry-distinct sites (fractional):
Nb  0.000  0.000  0.000 (multiplicity 2)
Pd  0.000  0.500  0.500 (multiplicity 2)
Au  0.245  0.229  0.500 (multiplicity 4)

- Relative energy among the computed polymorphs: 99 kJ/mol of formula units



4.
Below is an optimized crystal structure of DyPuPa2Pt4, with properties calculated at the PBE-GGA level.

Cell: 8.099 8.150 11.559 Å, 90.00 90.00 90.00°
Space group Fmmm (No. 69)
Symmetry-distinct sites (fractional):
Dy  0.000  0.000  0.000 (multiplicity 4)
Pu  0.000  0.000  0.500 (multiplicity 4)
Pa  0.250  0.250  0.250 (multiplicity 8)
Pt  0.000  0.000  0.251 (multiplicity 8)
Pt  0.250  0.250  0.000 (multiplicity 8)



5.
Below is an optimized crystal structure of CaMoN3, with properties calculated at the PBE-GGA level.

Cell: 5.085 3.461 8.250 Å, 90.00 90.71 90.00°
Space group Pm (No. 6)
Symmetry-distinct sites (fractional):
Ca  0.000  0.000  0.000 (multiplicity 1)
Ca  0.012  0.000  0.493 (multiplicity 1)
Mo  0.516  0.500  0.721 (multiplicity 1)
Mo  0.592  0.500  0.273 (multiplicity 1)
N  0.321  0.000  0.732 (multiplicity 1)
N  0.407  0.000  0.320 (multiplicity 1)
N  0.412  0.000  0.149 (multiplicity 1)
N  0.689  0.500  0.523 (multiplicity 1)
N  0.781  0.500  0.860 (multiplicity 1)
N  0.928  0.500  0.231 (multiplicity 1)

- Energy relative to the elements, uncorrected: -490.2 meV/atom



6.
Below is an optimized crystal structure of Ag3Pb5, with properties calculated at the PBE-GGA level.

Cell: 8.573 9.973 4.904 Å, 90.00 90.00 90.00°
Space group Cmmm (No. 65)
Symmetry-distinct sites (fractional):
Ag  0.000  0.000  0.000 (multiplicity 2)
Ag  0.000  0.268  0.500 (multiplicity 4)
Pb  0.000  0.500  0.000 (multiplicity 2)
Pb  0.215  0.000  0.500 (multiplicity 4)
Pb  0.250  0.250  0.000 (multiplicity 4)

- Relative energy among the computed polymorphs: 8 kJ/mol of formula units



7.
Below is an optimized crystal structure of HoZnNiRu, with properties calculated at the PBE-GGA level.

Cell: 6.350 6.350 6.350 Å, 90.00 90.00 90.00°
Space group F-43m (No. 216)
Symmetry-distinct sites (fractional):
Ho  0.000  0.000  0.000 (multiplicity 4)
Zn  0.000  0.000  0.500 (multiplicity 4)
Ni  0.250  0.250  0.750 (multiplicity 4)
Ru  0.250  0.250  0.250 (multiplicity 4)



8.
Below is an optimized crystal structure of K3AcPa2O9, with properties calculated at the PBE-GGA level.

Cell: 6.3364 6.3364 7.8212 Å, 90.00 90.00 120.00°
Space group P-3m1 (No. 164)
Symmetry-distinct sites (fractional):
K  0.0000  0.0000  0.0000 (multiplicity 1)
K  0.3333  0.6667  0.6749 (multiplicity 2)
Ac  0.0000  0.0000  0.5000 (multiplicity 1)
Pa  0.3333  0.6667  0.1602 (multiplicity 2)
O  0.0000  0.5000  0.0000 (multiplicity 3)
O  0.1765  0.3530  0.3133 (multiplicity 6)

- Energy relative to the elements, uncorrected: -2714.2 meV/atom



9.
Below is an optimized crystal structure of Pm14DyCd, with properties calculated at the PBE-GGA level.

Cell: 10.249 10.173 10.176 Å, 90.00 90.00 90.00°
Space group Amm2 (No. 38)
Symmetry-distinct sites (fractional):
Pm  0.000  0.000  0.000 (multiplicity 2)
Pm  0.000  0.000  0.500 (multiplicity 2)
Pm  0.000  0.250  0.250 (multiplicity 4)
Pm  0.254  0.000  0.249 (multiplicity 4)
Pm  0.254  0.249  0.000 (multiplicity 8)
Pm  0.255  0.000  0.751 (multiplicity 4)
Pm  0.500  0.249  0.249 (multiplicity 4)
Dy  0.500  0.000  0.499 (multiplicity 2)
Cd  0.500  0.000  0.999 (multiplicity 2)



10.
Below is an optimized crystal structure of Np2Ni3Ge5, with properties calculated at the PBE-GGA level.

Cell: 9.797 11.628 5.869 Å, 90.00 90.00 90.00°
Space group Ibam (No. 72)
Symmetry-distinct sites (fractional):
Np  0.234  0.138  0.000 (multiplicity 8)
Ni  0.000  0.500  0.250 (multiplicity 4)
Ni  0.106  0.138  0.500 (multiplicity 8)
Ge  0.000  0.000  0.250 (multiplicity 4)
Ge  0.000  0.273  0.250 (multiplicity 8)
Ge  0.162  0.404  0.000 (multiplicity 8)

- Relative energy among the computed polymorphs: 0 kJ/mol of formula units



11.
Below is an optimized crystal structure of Be2TlPb, with properties calculated at the PBE-GGA level.

Cell: 4.946 4.946 3.286 Å, 90.00 90.00 90.00°
Space group P4/mmm (No. 123)
Symmetry-distinct sites (fractional):
Be  0.000  0.500  0.000 (multiplicity 2)
Tl  0.000  0.000  0.500 (multiplicity 1)
Pb  0.500  0.500  0.500 (multiplicity 1)

- Relative energy among the computed polymorphs: 128 kJ/mol of formula units



12.
Below is an optimized crystal structure of TbLuMgTc, with properties calculated at the PBE-GGA level.

Cell: 7.061 7.061 7.061 Å, 90.00 90.00 90.00°
Space group F-43m (No. 216)
Symmetry-distinct sites (fractional):
Tb  0.000  0.000  0.000 (multiplicity 4)
Lu  0.000  0.000  0.500 (multiplicity 4)
Mg  0.250  0.250  0.250 (multiplicity 4)
Tc  0.250  0.250  0.750 (multiplicity 4)



no.,ρ (Mg/m³),total DFT energy (no corrections) (eV/atom),spin magnetization (Bohr magnetons per cell)
1,11.543,-4.26,0.00
2,8.374,-9.07,0.00
3,13.803,-5.34,0.00
4,14.356,-8.67,24.00
5,4.073,-8.05,0.00
6,10.769,-3.28,0.00
7,10.121,-5.42,0.00
8,5.803,-7.45,0.00
9,7.215,-4.51,0.00
10,10.067,-6.96,32.21
11,8.874,-2.54,0.00
12,8.606,-5.31,0.00